Entry 1:
Below is a geometry-optimized CuSiN2 structure, with properties calculated at the PBE level.

abc: 3.671 3.671 3.671
angles: 60.00 60.00 60.00
Atoms (fractional coordinates):
Cu  0.000  0.000  0.000
Si  0.500  0.500  0.500
N  0.250  0.250  0.250
N  0.750  0.750  0.750

Computed properties:
The relative energy among the computed polymorphs comes out at 1.624 eV per atom. As for the density of states at the Fermi level: 2.32 states/eV/f.u. For the formation energy (no corrections), the calculation gives 124.1 kJ per mole of atoms.

=====

Entry 2:
Below is a geometry-optimized ThSc2Hg structure, with properties calculated at the PBE level.

abc: 4.691 4.691 4.573
angles: 90.00 90.00 90.00
Atoms (fractional coordinates):
Th  0.000  0.000  0.000
Sc  0.000  0.500  0.500
Sc  0.500  0.000  0.500
Hg  0.500  0.500  0.000

Computed properties:
The relative energy among the computed polymorphs comes out at 0.139 eV per atom. As for the density of states at the Fermi level: 6.37 states/eV/f.u. Its energy relative to the elements is -0.10 eV/atom.

=====

Entry 3:
Below is a geometry-optimized TaNi2Br structure, with properties calculated at the PBE level.

abc: 6.752 6.752 6.752
angles: 31.54 31.54 31.54
Atoms (fractional coordinates):
Ta  0.000  0.000  0.000
Ni  0.279  0.279  0.279
Ni  0.560  0.560  0.560
Br  0.766  0.766  0.766

Computed properties:
The relative energy among the computed polymorphs comes out at 0.110 eV per atom. As for the density of states at the Fermi level: 0.76 states/eV/f.u. For the formation energy (no corrections), the calculation gives 21.4 kJ per mole of atoms.

=====

Entry 4:
Below is a geometry-optimized MgBe3Ag structure, with properties calculated at the PBE level.

abc: 4.350 4.350 4.350
angles: 90.00 90.00 90.00
Atoms (fractional coordinates):
Mg  0.000  0.000  0.000
Be  0.000  0.500  0.500
Be  0.500  0.000  0.500
Be  0.500  0.500  0.000
Ag  0.500  0.500  0.500

Computed properties:
The relative energy among the computed polymorphs comes out at 0.000 eV per atom. As for the density of states at the Fermi level: 1.45 states/eV/f.u. Its energy relative to the elements is 0.74 eV/atom.

=====

Entry 5:
Below is a geometry-optimized KTcRh4 structure, with properties calculated at the PBE level.

abc: 5.238 5.238 5.238
angles: 60.00 60.00 60.00
Atoms (fractional coordinates):
K  0.000  0.000  0.000
Tc  0.250  0.250  0.250
Rh  0.127  0.624  0.624
Rh  0.624  0.127  0.624
Rh  0.624  0.624  0.127
Rh  0.624  0.624  0.624

Computed properties:
As for the density of states at the Fermi level: 8.92 states/eV/f.u. Its energy relative to the elements is 0.69 eV/atom.

=====

Entry 6:
Below is a geometry-optimized SiHgIrO2 structure, with properties calculated at the PBE level.

abc: 3.746 3.746 6.941
angles: 90.00 90.00 90.00
Atoms (fractional coordinates):
Si  0.000  0.000  0.000
Hg  0.500  0.500  0.000
Ir  0.500  0.500  0.500
O  0.000  0.500  0.500
O  0.500  0.000  0.500

Computed properties:
As for the density of states at the Fermi level: 3.34 states/eV/f.u. For the formation energy (no corrections), the calculation gives 6.7 kJ per mole of atoms.